[1]
Here is TePPd2F after structural relaxation from Alexandria. Energies are from PBE.

Summary:
The calculation puts the formation energy from raw total energies at -515 meV/atom. As for the uncorrected energy: -4.6770 eV per atom. As for the theoretical density: 7.5 Mg/m³.

Unit cell a=4.7249 b=3.8759 c=4.7249 alpha=90.00 beta=90.00 gamma=90.00
Positions (direct):
1 P 0.0000 0.0000 0.0000
2 Te 0.5000 0.5000 0.5000
3 Pd 0.0000 0.0000 0.5000
4 Pd 0.5000 0.0000 0.0000
5 F 0.0000 0.5000 0.0000

[2]
Here is BaMn2CdH after structural relaxation from Alexandria. Energies are from PBE.

Summary:
As for the uncorrected energy: -4.2249 eV per atom. As for the theoretical density: 5.5 Mg/m³.

Unit cell a=4.5038 b=5.3279 c=4.5038 alpha=90.00 beta=90.00 gamma=90.00
Positions (direct):
1 H 0.0000 0.0000 0.0000
2 Mn 0.0000 0.0000 0.5000
3 Mn 0.5000 0.0000 0.0000
4 Ba 0.5000 0.5000 0.5000
5 Cd 0.0000 0.5000 0.0000

[3]
Here is Be3CoW after structural relaxation from Alexandria. Energies are from PBE.

Summary:
As for the uncorrected energy: -4.4910 eV per atom. As for the theoretical density: 5.9 Mg/m³. Its calculated formation energy is 1.757 eV per atom. Its energy above the most stable polymorph in this dataset is 1163 meV/atom.

Unit cell a=4.2458 b=4.2458 c=4.2458 alpha=90.00 beta=90.00 gamma=90.00
Positions (direct):
1 Be 0.0000 0.5000 0.0000
2 Be 0.0000 0.0000 0.5000
3 Be 0.5000 0.0000 0.0000
4 Co 0.5000 0.5000 0.5000
5 W 0.0000 0.0000 0.0000